Material: NbInCuTeS2
Method: DFT, PBE
State: optimized geometry

Properties
* uncorrected energy: -61.174 eV for the cell shown
* crystal system: orthorhombic
* space group: Cmcm, No. 63

a b c (Å): 7.993 7.993 10.085
angles (deg): 90.00 90.00 154.39
Last column: magnetic moment on the atom in μB.
Sites, in units of the cell vectors:
1 Cu 0.534 0.466 0.250  0.01
2 Cu 0.466 0.534 0.750  0.01
3 In 0.217 0.783 0.250  0.00
4 In 0.783 0.217 0.750  0.00
5 Nb 0.000 0.000 0.000  0.16
6 Nb 0.000 0.000 0.500  0.16
7 S 0.609 0.391 0.059  0.00
8 S 0.609 0.391 0.441  0.00
9 S 0.391 0.609 0.559  0.00
10 S 0.391 0.609 0.941  0.00
11 Te 0.909 0.091 0.250  0.00
12 Te 0.091 0.909 0.750  -0.01



Material: TbAlNO
Method: DFT, PBE
State: optimized geometry

Properties
* uncorrected energy: -117.505 eV for the cell shown
* crystal system: orthorhombic
* space group: Pca2_1, No. 29

a b c (Å): 5.695 7.463 5.016
angles (deg): 90.00 90.00 90.00
Sites, in units of the cell vectors:
1 Al 0.914 0.095 0.492
2 Al 0.414 0.905 0.492
3 Al 0.586 0.095 0.992
4 Al 0.086 0.905 0.992
5 N 0.891 0.085 0.121
6 N 0.391 0.915 0.121
7 N 0.609 0.085 0.621
8 N 0.109 0.915 0.621
9 O 0.445 0.318 0.048
10 O 0.945 0.682 0.048
11 O 0.055 0.318 0.548
12 O 0.555 0.682 0.548
13 Tb 0.048 0.363 0.042
14 Tb 0.548 0.637 0.042
15 Tb 0.452 0.363 0.542
16 Tb 0.952 0.637 0.542



Material: FeTe
Method: DFT, PBE
State: optimized geometry

Properties
* uncorrected energy: -33.960 eV for the cell shown
* crystal system: trigonal
* space group: R3m, No. 160

a b c (Å): 6.293 6.293 6.293
angles (deg): 116.26 116.26 116.26
Last column: magnetic moment on the atom in μB.
Sites, in units of the cell vectors:
1 Fe 0.979 0.979 0.752  2.16
2 Fe 0.979 0.752 0.979  2.09
3 Fe 0.752 0.979 0.979  2.06
4 Te 0.626 0.276 0.276  -0.07
5 Te 0.276 0.626 0.276  -0.07
6 Te 0.276 0.276 0.626  -0.07



Material: LuBi
Method: DFT, PBE
State: optimized geometry

Properties
* uncorrected energy: -9.145 eV for the cell shown
* crystal system: cubic
* space group: F-43m, No. 216

a b c (Å): 4.904 4.904 4.904
angles (deg): 60.00 60.00 60.00
Sites, in units of the cell vectors:
1 Bi 0.000 0.000 0.000
2 Lu 0.250 0.250 0.250



Material: YInPt2
Method: DFT, PBE
State: optimized geometry

Properties
* uncorrected energy: -50.322 eV for the cell shown
* crystal system: hexagonal
* space group: P6_3/mmc, No. 194

a b c (Å): 4.587 4.587 9.030
angles (deg): 90.00 90.00 120.00
Sites, in units of the cell vectors:
1 In 0.000 0.000 0.000
2 In 0.000 0.000 0.500
3 Pt 0.333 0.667 0.092
4 Pt 0.333 0.667 0.409
5 Pt 0.667 0.333 0.591
6 Pt 0.667 0.333 0.908
7 Y 0.667 0.333 0.250
8 Y 0.333 0.667 0.750



Material: Ge64Pd
Method: DFT, PBE
State: optimized geometry

Properties
* uncorrected energy: -300.223 eV for the cell shown
* crystal system: trigonal
* space group: R-3m, No. 166

a b c (Å): 11.541 11.541 11.541
angles (deg): 90.05 90.05 90.05
Sites, in units of the cell vectors:
1 Ge 0.314 0.061 0.061
2 Ge 0.061 0.314 0.061
3 Ge 0.812 0.561 0.061
4 Ge 0.561 0.812 0.061
5 Ge 0.563 0.313 0.063
6 Ge 0.313 0.563 0.063
7 Ge 0.803 0.067 0.067
8 Ge 0.067 0.803 0.067
9 Ge 0.184 0.184 0.184
10 Ge 0.685 0.685 0.185
11 Ge 0.436 0.436 0.188
12 Ge 0.939 0.439 0.188
13 Ge 0.439 0.939 0.188
14 Ge 0.686 0.193 0.193
15 Ge 0.193 0.686 0.193
16 Ge 0.933 0.933 0.197
17 Ge 0.310 0.310 0.310
18 Ge 0.561 0.561 0.313
19 Ge 0.563 0.063 0.313
20 Ge 0.063 0.563 0.313
21 Ge 0.807 0.807 0.314
22 Ge 0.061 0.061 0.314
23 Ge 0.815 0.315 0.315
24 Ge 0.315 0.815 0.315
25 Ge 0.436 0.188 0.436
26 Ge 0.188 0.436 0.436
27 Ge 0.937 0.687 0.437
28 Ge 0.687 0.937 0.437
29 Ge 0.687 0.439 0.439
30 Ge 0.439 0.687 0.439
31 Ge 0.939 0.188 0.439
32 Ge 0.188 0.939 0.439
33 Ge 0.812 0.061 0.561
34 Ge 0.061 0.812 0.561
35 Ge 0.561 0.313 0.561
36 Ge 0.313 0.561 0.561
37 Ge 0.313 0.063 0.563
38 Ge 0.063 0.313 0.563
39 Ge 0.812 0.564 0.564
40 Ge 0.564 0.812 0.564
41 Ge 0.685 0.185 0.685
42 Ge 0.185 0.685 0.685
43 Ge 0.939 0.939 0.686
44 Ge 0.193 0.193 0.686
45 Ge 0.937 0.437 0.687
46 Ge 0.437 0.937 0.687
47 Ge 0.439 0.439 0.687
48 Ge 0.690 0.690 0.690
49 Ge 0.067 0.067 0.803
50 Ge 0.807 0.314 0.807
51 Ge 0.314 0.807 0.807
52 Ge 0.561 0.061 0.812
53 Ge 0.061 0.561 0.812
54 Ge 0.564 0.564 0.812
55 Ge 0.315 0.315 0.815
56 Ge 0.816 0.816 0.816
57 Ge 0.933 0.197 0.933
58 Ge 0.197 0.933 0.933
59 Ge 0.687 0.437 0.937
60 Ge 0.437 0.687 0.937
61 Ge 0.439 0.188 0.939
62 Ge 0.188 0.439 0.939
63 Ge 0.939 0.686 0.939
64 Ge 0.686 0.939 0.939
65 Pd 0.000 0.000 0.000